Run A
A plane-wave DFT calculation with PBE was carried out for a relaxed structure of SrRe2Os2. Values from VASP.

Values from the calculation:
ρ: 15.885 Mg/m³
Space-group type: P4/mbm, No. 127
Fermi-level density of states: 5.94 states/eV/f.u.

Cell and atoms, written as Quantum ESPRESSO input:
```
&SYSTEM
  ibrav = 0, nat = 10, ntyp = 3
/
ATOMIC_SPECIES
Os 190.23 Os.upf
Re 186.21 Re.upf
Sr 87.62 Sr.upf
ATOMIC_POSITIONS crystal
Os 0.833 0.333 0.500
Re 0.117 0.383 0.000
Sr 0.500 0.500 0.000
Re 0.883 0.617 0.000
Os 0.333 0.167 0.500
Re 0.617 0.117 0.000
Os 0.167 0.667 0.500
Sr 0.000 0.000 0.000
Os 0.667 0.833 0.500
Re 0.383 0.883 0.000
CELL_PARAMETERS angstrom
7.980 0.000 0.000
0.000 7.980 0.000
0.000 0.000 2.760
```

=====

Run B
A plane-wave DFT calculation with PBE was carried out for a relaxed structure of SrRe2Os2. Values from VASP.

Values from the calculation:
ρ: 14.108 Mg/m³
Space-group type: I4/mmm, No. 139
Fermi-level density of states: 4.52 states/eV/f.u.

Cell and atoms, written as Quantum ESPRESSO input:
```
&SYSTEM
  ibrav = 0, nat = 5, ntyp = 3
/
ATOMIC_SPECIES
Re 186.21 Re.upf
Os 190.23 Os.upf
Sr 87.62 Sr.upf
ATOMIC_POSITIONS crystal
Re 0.376 0.376 0.248
Os 0.250 0.750 0.500
Sr 0.000 0.000 0.000
Os 0.750 0.250 0.500
Re 0.624 0.624 0.752
CELL_PARAMETERS angstrom
4.376 0.000 0.000
0.000 4.376 0.000
2.188 2.188 5.166
```

=====

run A (0.013 eV/atom below the next structure)

=====

Run A
A plane-wave DFT calculation with PBE was carried out for a relaxed structure of TaRe3Os. Values from VASP.

Values from the calculation:
ρ: 15.392 Mg/m³
Space-group type: Pm-3m, No. 221
Fermi-level density of states: 7.48 states/eV/f.u.

Cell and atoms, written as Quantum ESPRESSO input:
```
&SYSTEM
  ibrav = 0, nat = 5, ntyp = 3
/
ATOMIC_SPECIES
Re 186.21 Re.upf
Os 190.23 Os.upf
Ta 180.95 Ta.upf
ATOMIC_POSITIONS crystal
Re 0.500 0.000 0.000
Re 0.000 0.500 0.000
Os 0.500 0.500 0.500
Re 0.000 0.000 0.500
Ta 0.000 0.000 0.000
CELL_PARAMETERS angstrom
-4.430 -1.302 -0.516
1.219 -4.427 0.708
-0.690 0.540 4.563
```

=====

Run B
A plane-wave DFT calculation with PBE was carried out for a relaxed structure of TaRe3Os. Values from VASP.

Values from the calculation:
ρ: 15.324 Mg/m³
Space-group type: Pm-3m, No. 221
Fermi-level density of states: 4.98 states/eV/f.u.

Cell and atoms, written as Quantum ESPRESSO input:
```
&SYSTEM
  ibrav = 0, nat = 5, ntyp = 3
/
ATOMIC_SPECIES
Os 190.23 Os.upf
Re 186.21 Re.upf
Ta 180.95 Ta.upf
ATOMIC_POSITIONS crystal
Os 0.000 0.000 0.000
Re 0.500 0.000 0.000
Re 0.000 0.000 0.500
Re 0.000 0.500 0.000
Ta 0.500 0.500 0.500
CELL_PARAMETERS angstrom
-2.426 -2.930 -2.681
-1.352 -2.344 3.785
-3.734 2.752 0.371
```

=====

run B (0.688 eV/atom below the next structure)

=====

Run A
A plane-wave DFT calculation with PBE was carried out for a relaxed structure of TaTiReOs. Values from VASP.

Values from the calculation:
ρ: 16.044 Mg/m³
Space-group type: F-43m, No. 216
Fermi-level density of states: 1.39 states/eV/f.u.

Cell and atoms, written as Quantum ESPRESSO input:
```
&SYSTEM
  ibrav = 0, nat = 4, ntyp = 4
/
ATOMIC_SPECIES
Ti 47.87 Ti.upf
Os 190.23 Os.upf
Re 186.21 Re.upf
Ta 180.95 Ta.upf
ATOMIC_POSITIONS crystal
Ti 0.250 0.250 0.250
Os 0.500 0.500 0.500
Re 0.000 0.000 0.000
Ta 0.750 0.750 0.750
CELL_PARAMETERS angstrom
-3.516 1.097 -2.511
-4.131 -0.615 1.559
-2.514 3.514 1.098
```

=====

Run B
A plane-wave DFT calculation with PBE was carried out for a relaxed structure of TaTiReOs. Values from VASP.

Values from the calculation:
ρ: 16.066 Mg/m³
Space-group type: P4mm, No. 99
Fermi-level density of states: 0.98 states/eV/f.u.

Cell and atoms, written as Quantum ESPRESSO input:
```
&SYSTEM
  ibrav = 0, nat = 4, ntyp = 4
/
ATOMIC_SPECIES
Ti 47.87 Ti.upf
Os 190.23 Os.upf
Ta 180.95 Ta.upf
Re 186.21 Re.upf
ATOMIC_POSITIONS crystal
Ti 0.000 0.000 0.355
Os 0.500 0.500 0.603
Ta 0.000 0.000 0.860
Re 0.500 0.500 0.111
CELL_PARAMETERS angstrom
3.153 0.000 0.000
0.000 3.153 0.000
0.000 0.000 6.292
```

=====

run A (0.013 eV/atom below the next structure)